Crystalline Ag4SnBr6 at its relaxed geometry. Source: Alexandria via LeMat-Bulk, functional PBE-GGA.

a = 5.506 Å, b = 5.580 Å, c = 10.987 Å
α = 83.77°, β = 81.77°, γ = 89.63°
Positions (direct):
Ag (0.000, 0.000, 0.000)
Ag (0.103, 0.561, 0.678)
Ag (0.499, 0.508, 0.008)
Ag (0.604, 0.064, 0.678)
Sn (0.475, 0.848, 0.361)
Br (0.024, 0.514, 0.930)
Br (0.119, 0.077, 0.617)
Br (0.450, 0.422, 0.257)
Br (0.523, 0.019, 0.931)
Br (0.624, 0.588, 0.588)
Br (0.956, 0.927, 0.252)

Computed properties:
ΔE_f (raw): -0.40 eV per atom
space-group type: P1

Crystalline Ag3SnBr7 at its relaxed geometry. Source: Alexandria via LeMat-Bulk, functional PBE-GGA.

a = 7.544 Å, b = 7.544 Å, c = 7.142 Å
α = 95.11°, β = 95.11°, γ = 75.56°
Positions (direct):
Ag (0.000, 0.000, 0.000)
Ag (0.138, 0.578, 0.276)
Ag (0.578, 0.138, 0.276)
Sn (0.359, 0.359, 0.751)
Br (0.028, 0.440, 0.587)
Br (0.225, 0.225, 0.051)
Br (0.293, 0.686, 0.950)
Br (0.440, 0.028, 0.587)
Br (0.493, 0.493, 0.473)
Br (0.686, 0.293, 0.950)
Br (0.819, 0.819, 0.179)

Computed properties:
ΔE_f (raw): -0.43 eV per atom
space-group type: Cm

Crystalline Ag3Sn5Br12 at its relaxed geometry. Source: Alexandria via LeMat-Bulk, functional PBE-GGA.

a = 15.446 Å, b = 15.446 Å, c = 15.446 Å
α = 109.47°, β = 109.47°, γ = 109.47°
Positions (direct):
Ag (0.125, 0.250, 0.375)
Ag (0.125, 0.375, 0.750)
Ag (0.250, 0.375, 0.125)
Ag (0.250, 0.875, 0.625)
Ag (0.375, 0.125, 0.250)
Ag (0.375, 0.750, 0.125)
Ag (0.625, 0.250, 0.875)
Ag (0.625, 0.875, 0.750)
Ag (0.750, 0.125, 0.375)
Ag (0.750, 0.625, 0.875)
Ag (0.875, 0.625, 0.250)
Ag (0.875, 0.750, 0.625)
Sn (0.000, 0.000, 0.000)
Sn (0.000, 0.000, 0.500)
Sn (0.000, 0.500, 0.000)
Sn (0.000, 0.500, 0.500)
Sn (0.125, 0.750, 0.875)
Sn (0.125, 0.875, 0.250)
Sn (0.250, 0.125, 0.875)
Sn (0.250, 0.625, 0.375)
Sn (0.375, 0.250, 0.625)
Sn (0.375, 0.625, 0.750)
Sn (0.500, 0.000, 0.000)
Sn (0.500, 0.000, 0.500)
Sn (0.500, 0.500, 0.000)
Sn (0.500, 0.500, 0.500)
Sn (0.625, 0.375, 0.250)
Sn (0.625, 0.750, 0.375)
Sn (0.750, 0.375, 0.625)
Sn (0.750, 0.875, 0.125)
Sn (0.875, 0.125, 0.750)
Sn (0.875, 0.250, 0.125)
Br (0.052, 0.226, 0.120)
Br (0.052, 0.326, 0.932)
Br (0.068, 0.620, 0.394)
Br (0.068, 0.948, 0.674)
Br (0.106, 0.726, 0.674)
Br (0.106, 0.880, 0.432)
Br (0.120, 0.052, 0.226)
Br (0.120, 0.568, 0.894)
Br (0.174, 0.226, 0.606)
Br (0.174, 0.448, 0.568)
Br (0.226, 0.120, 0.052)
Br (0.226, 0.606, 0.174)
Br (0.274, 0.326, 0.894)
Br (0.274, 0.448, 0.380)
Br (0.326, 0.894, 0.274)
Br (0.326, 0.932, 0.052)
Br (0.380, 0.274, 0.448)
Br (0.380, 0.606, 0.932)
Br (0.394, 0.068, 0.620)
Br (0.394, 0.826, 0.774)
Br (0.432, 0.106, 0.880)
Br (0.432, 0.826, 0.552)
Br (0.448, 0.380, 0.274)
Br (0.448, 0.568, 0.174)
Br (0.552, 0.432, 0.826)
Br (0.552, 0.620, 0.726)
Br (0.568, 0.174, 0.448)
Br (0.568, 0.894, 0.120)
Br (0.606, 0.174, 0.226)
Br (0.606, 0.932, 0.380)
Br (0.620, 0.394, 0.068)
Br (0.620, 0.726, 0.552)
Br (0.674, 0.068, 0.948)
Br (0.674, 0.106, 0.726)
Br (0.726, 0.552, 0.620)
Br (0.726, 0.674, 0.106)
Br (0.774, 0.394, 0.826)
Br (0.774, 0.880, 0.948)
Br (0.826, 0.552, 0.432)
Br (0.826, 0.774, 0.394)
Br (0.880, 0.432, 0.106)
Br (0.880, 0.948, 0.774)
Br (0.894, 0.120, 0.568)
Br (0.894, 0.274, 0.326)
Br (0.932, 0.052, 0.326)
Br (0.932, 0.380, 0.606)
Br (0.948, 0.674, 0.068)
Br (0.948, 0.774, 0.880)

Computed properties:
ΔE_f (raw): -0.40 eV per atom
space-group type: Ia-3d

Crystalline Ag2Sn2Br at its relaxed geometry. Source: Alexandria via LeMat-Bulk, functional PBE-GGA.

a = 4.126 Å, b = 4.126 Å, c = 14.862 Å
α = 90.00°, β = 90.00°, γ = 90.00°
Positions (direct):
Ag (0.000, 0.500, 0.250)
Ag (0.000, 0.500, 0.750)
Ag (0.500, 0.000, 0.250)
Ag (0.500, 0.000, 0.750)
Sn (0.000, 0.000, 0.108)
Sn (0.000, 0.000, 0.892)
Sn (0.500, 0.500, 0.392)
Sn (0.500, 0.500, 0.608)
Br (0.000, 0.000, 0.500)
Br (0.500, 0.500, 0.000)

Computed properties:
E above lowest polymorph: 60 meV/atom
ΔE_f (raw): 0.05 eV per atom
space-group type: I4/mmm

Crystalline AgSn2Br2 at its relaxed geometry. Source: Alexandria via LeMat-Bulk, functional PBE-GGA.

a = 7.729 Å, b = 7.729 Å, c = 5.127 Å
α = 90.00°, β = 90.00°, γ = 90.00°
Positions (direct):
Ag (0.000, 0.000, 0.000)
Ag (0.500, 0.500, 0.000)
Sn (0.201, 0.299, 0.000)
Sn (0.299, 0.799, 0.000)
Sn (0.701, 0.201, 0.000)
Sn (0.799, 0.701, 0.000)
Br (0.174, 0.674, 0.500)
Br (0.326, 0.174, 0.500)
Br (0.674, 0.826, 0.500)
Br (0.826, 0.326, 0.500)

Computed properties:
ΔE_f (raw): -0.20 eV per atom
space-group type: P4/mbm

Crystalline Ag5SnBr12 at its relaxed geometry. Source: Alexandria via LeMat-Bulk, functional PBE-GGA.

a = 7.132 Å, b = 7.132 Å, c = 13.638 Å
α = 91.34°, β = 91.34°, γ = 122.48°
Positions (direct):
Ag (0.000, 0.000, 0.000)
Ag (0.169, 0.831, 0.500)
Ag (0.333, 0.667, 0.000)
Ag (0.667, 0.333, 0.000)
Ag (0.831, 0.169, 0.500)
Sn (0.500, 0.500, 0.500)
Br (0.017, 0.350, 0.888)
Br (0.178, 0.481, 0.386)
Br (0.203, 0.203, 0.616)
Br (0.316, 0.316, 0.112)
Br (0.350, 0.017, 0.888)
Br (0.481, 0.178, 0.386)
Br (0.519, 0.822, 0.614)
Br (0.650, 0.983, 0.112)
Br (0.684, 0.684, 0.888)
Br (0.797, 0.797, 0.384)
Br (0.822, 0.519, 0.614)
Br (0.983, 0.650, 0.112)

Computed properties:
ΔE_f (raw): -0.33 eV per atom
space-group type: C2/m